# 1
PrZnNi | GGA-PBE | relaxed

Formation energy (eV/atom): 0.105

The structure in extended XYZ format:
```
9
Lattice="7.9319 0.0000 0.0000 -3.9660 6.8693 0.0000 0.0000 0.0000 3.2775" Properties=species:S:1:pos:R:3 pbc="T T T"
Pr -1.1834 2.0497 0.0000
Pr 2.3668 0.0000 0.0000
Pr 2.7826 4.8195 0.0000
Zn 0.0000 0.0000 1.6387
Zn 0.0000 4.5795 0.0000
Zn 3.9660 2.2897 0.0000
Ni -2.5243 4.3722 1.6387
Ni 1.4417 2.4971 1.6387
Ni 5.0485 0.0000 1.6387
```


# 2
PrZnNi | GGA-PBE | relaxed

Formation energy (eV/atom): 0.014

The structure in extended XYZ format:
```
6
Lattice="4.8760 0.0000 0.0000 -2.4380 4.2228 0.0000 0.0000 0.0000 5.9091" Properties=species:S:1:pos:R:3 pbc="T T T"
Pr 0.0000 2.8152 1.4773
Pr 2.4380 1.4076 4.4318
Zn 0.0000 2.8152 4.4318
Zn 2.4380 1.4076 1.4773
Ni 0.0000 0.0000 0.0000
Ni 0.0000 0.0000 2.9546
```


# 3
PrZnNi | GGA-PBE | relaxed

Formation energy (eV/atom): -0.371

The structure in extended XYZ format:
```
9
Lattice="7.1828 0.0000 0.0000 -3.5914 6.2205 0.0000 0.0000 0.0000 3.9108" Properties=species:S:1:pos:R:3 pbc="T T T"
Pr -2.1043 3.6448 0.0000
Pr 1.4871 2.5757 0.0000
Pr 4.2086 0.0000 0.0000
Zn -0.8351 1.4463 1.9554
Zn 1.6701 0.0000 1.9554
Zn 2.7563 4.7741 1.9554
Ni 0.0000 0.0000 0.0000
Ni 0.0000 4.1470 1.9554
Ni 3.5914 2.0735 1.9554
```


Size of the total moment / μB/atom: 0.0084 0.0008 0.0007